An optimized crystal structure of Sr2Mg2UAs4. Source: Alexandria via LeMat-Bulk, functional GGA-PBE.

Summary:
As for the crystal system: monoclinic. Its uncorrected energy is -4.94 eV/atom.

Unit cell a=8.038 b=8.038 c=7.500 alpha=109.04 beta=109.04 gamma=30.99
Atoms (fractional coordinates):
Sr1 0.131 0.131 0.061
Sr2 0.869 0.869 0.939
Mg1 0.324 0.324 0.504
Mg2 0.676 0.676 0.496
U1 0.000 0.000 0.500
As1 0.208 0.208 0.711
As2 0.491 0.491 0.752
As3 0.509 0.509 0.248
As4 0.792 0.792 0.289

An optimized crystal structure of SrMg2AsW. Source: Alexandria via LeMat-Bulk, functional GGA-PBE.

Summary:
As for the crystal system: tetragonal. Its uncorrected energy is -3.96 eV/atom.

Unit cell a=5.171 b=5.171 c=4.849 alpha=90.00 beta=90.00 gamma=90.00
Atoms (fractional coordinates):
Sr1 0.000 0.000 0.000
Mg1 0.000 0.500 0.500
Mg2 0.500 0.000 0.500
As1 0.500 0.500 0.500
W1 0.500 0.500 0.000

An optimized crystal structure of MgTa2As. Source: Alexandria via LeMat-Bulk, functional GGA-PBE.

Summary:
As for the crystal system: monoclinic. The calculation puts the energy relative to the lowest polymorph listed for this composition at 147 meV/atom.

Unit cell a=2.909 b=4.684 c=5.441 alpha=90.00 beta=99.30 gamma=90.00
Atoms (fractional coordinates):
Mg1 0.000 0.000 0.000
Ta1 0.381 0.000 0.507
Ta2 0.628 0.500 0.258
As1 0.591 0.500 0.754

An optimized crystal structure of MgTa2As. Source: Alexandria via LeMat-Bulk, functional GGA-PBE.

Summary:
As for the crystal system: tetragonal. The calculation puts the energy relative to the lowest polymorph listed for this composition at 185 meV/atom.

Unit cell a=4.011 b=4.011 c=4.347 alpha=90.00 beta=90.00 gamma=90.00
Atoms (fractional coordinates):
Mg1 0.000 0.000 0.000
Ta1 0.000 0.500 0.500
Ta2 0.500 0.000 0.500
As1 0.500 0.500 0.000